Record 1
The following is a GGA-PBE calculation of a relaxed CoNiIN2 crystal, from the Alexandria database.

```
CoNiIN2
1.0
3.578 0.000 0.000
0.000 3.578 0.000
0.000 0.000 7.354
Co Ni I N
1 1 1 2
Direct
0.000 0.000 0.000
0.500 0.500 0.500
0.500 0.500 0.000
0.000 0.500 0.500
0.500 0.000 0.500
```

Output
Space group: P4/mmm, No. 123
Total DFT energy (no corrections): -23.94 eV/cell
Raw formation energy: 1430 meV/atom
Polymorph energy (0 for the lowest one): 312 meV/atom

---

Record 2
The following is a GGA-PBE calculation of a relaxed Al2RhSe crystal, from the Alexandria database.

```
Al2RhSe
1.0
4.435 -1.492 0.000
4.435 1.492 0.000
-1.913 0.000 5.571
Al Rh Se
2 1 1
Direct
0.000 0.000 0.000
0.199 0.199 0.676
0.728 0.728 0.026
0.380 0.380 0.414
```

Output
Space group: Cm, No. 8
Total DFT energy (no corrections): -19.74 eV/cell
Raw formation energy: -355 meV/atom

---

Record 3
The following is a GGA-PBE calculation of a relaxed HfBeCrH2 crystal, from the Alexandria database.

```
HfBeCrH2
1.0
3.573 0.000 0.000
0.000 3.573 0.000
0.000 0.000 5.307
Hf Be Cr H
1 1 1 2
Direct
0.000 0.000 0.000
0.500 0.500 0.500
0.000 0.000 0.500
0.000 0.500 0.000
0.500 0.000 0.000
```

Output
Space group: P4/mmm, No. 123
Total DFT energy (no corrections): -26.28 eV/cell

---

Record 4
The following is a GGA-PBE calculation of a relaxed InCoAs2 crystal, from the Alexandria database.

```
InCoAs2
1.0
3.993 -1.647 0.000
3.993 1.647 0.000
-1.927 0.000 5.887
In Co As
1 1 2
Direct
0.000 0.000 0.000
0.645 0.645 0.395
0.211 0.211 0.698
0.347 0.347 0.363
```

Output
Space group: Cm, No. 8
Total DFT energy (no corrections): -19.15 eV/cell
Calculated formation energy: -3 meV per atom

---

Record 5
The following is a GGA-PBE calculation of a relaxed BeOs crystal, from the Alexandria database.

```
BeOs
1.0
1.612 0.931 4.956
-1.612 0.931 4.956
0.000 -1.862 4.956
Be Os
2 2
Direct
0.173 0.173 0.173
0.827 0.827 0.827
0.403 0.403 0.403
0.597 0.597 0.597
```

Output
Space group: R-3m, No. 166
Total DFT energy (no corrections): -28.86 eV/cell
Calculated formation energy: 263 meV per atom

---

Record 6
The following is a GGA-PBE calculation of a relaxed Li2LaPuSe4 crystal, from the Alexandria database.

```
Li2LaPuSe4
1.0
6.916 0.000 0.000
0.000 4.226 0.000
-2.609 0.000 6.846
Li La Pu Se
2 1 1 4
Direct
0.000 0.000 0.000
0.000 0.500 0.500
0.500 0.000 0.500
0.500 0.500 0.000
0.239 0.500 0.239
0.245 0.000 0.757
0.755 0.000 0.243
0.761 0.500 0.761
```

Output
Space group: P2/m, No. 10
Total DFT energy (no corrections): -49.38 eV/cell
Raw formation energy: -1544 meV/atom

---

Record 7
The following is a GGA-PBE calculation of a relaxed Ti3Ge4Rh crystal, from the Alexandria database.

```
Ti3Ge4Rh
1.0
8.616 0.000 0.000
0.000 7.253 0.000
0.000 0.000 5.130
Ti Ge Rh
6 8 2
Direct
0.000 0.146 0.000
0.249 0.674 0.989
0.251 0.326 0.489
0.500 0.854 0.500
0.749 0.326 0.489
0.751 0.674 0.989
0.000 0.132 0.498
0.000 0.819 0.718
0.235 0.683 0.487
0.265 0.317 0.987
0.500 0.181 0.218
0.500 0.868 0.998
0.735 0.317 0.987
0.765 0.683 0.487
0.000 0.823 0.203
0.500 0.177 0.703
```

Output
Space group: Pmn2_1, No. 31
Total DFT energy (no corrections): -101.94 eV/cell
Calculated formation energy: -183 meV per atom

---

Record 8
The following is a GGA-PBE calculation of a relaxed Mg15GaPb4 crystal, from the Alexandria database.

```
Mg15GaPb4
1.0
4.460 0.000 0.000
0.000 4.460 0.000
0.000 0.000 23.314
Mg Ga Pb
15 1 4
Direct
0.000 0.000 0.000
0.000 0.000 0.194
0.000 0.000 0.398
0.000 0.000 0.602
0.000 0.000 0.806
0.000 0.500 0.091
0.000 0.500 0.296
0.000 0.500 0.500
0.000 0.500 0.704
0.000 0.500 0.909
0.500 0.000 0.091
0.500 0.000 0.296
0.500 0.000 0.500
0.500 0.000 0.704
0.500 0.000 0.909
0.500 0.500 0.000
0.500 0.500 0.194
0.500 0.500 0.399
0.500 0.500 0.601
0.500 0.500 0.806
```

Output
Space group: P4/mmm, No. 123
Total DFT energy (no corrections): -42.71 eV/cell
Calculated formation energy: -47 meV per atom

---

Record 9
The following is a GGA-PBE calculation of a relaxed Nd4GaSn crystal, from the Alexandria database.

```
Nd4GaSn
1.0
2.875 -10.544 0.000
2.875 10.544 0.000
0.000 0.000 6.423
Nd Ga Sn
8 2 2
Direct
0.058 0.942 0.750
0.205 0.795 0.501
0.205 0.795 0.999
0.397 0.603 0.750
0.603 0.397 0.250
0.795 0.205 0.001
0.795 0.205 0.499
0.942 0.058 0.250
0.080 0.920 0.250
0.920 0.080 0.750
0.348 0.652 0.250
0.652 0.348 0.750
```

Output
Space group: Cmcm, No. 63
Total DFT energy (no corrections): -56.23 eV/cell
Calculated formation energy: -335 meV per atom
Polymorph energy (0 for the lowest one): 81 meV/atom

---

Record 10
The following is a GGA-PBE calculation of a relaxed ZnCu crystal, from the Alexandria database.

```
ZnCu
1.0
4.707 0.000 0.000
0.000 4.281 0.000
0.000 0.000 5.182
Zn Cu
4 4
Direct
0.099 0.250 0.124
0.401 0.750 0.624
0.599 0.250 0.376
0.901 0.750 0.876
0.089 0.250 0.626
0.411 0.750 0.126
0.589 0.250 0.874
0.911 0.750 0.374
```

Output
Space group: Pnma, No. 62
Total DFT energy (no corrections): -22.14 eV/cell
Calculated formation energy: -83 meV per atom

---

Record 11
The following is a GGA-PBE calculation of a relaxed VZn2I2 crystal, from the Alexandria database.

```
VZn2I2
1.0
7.845 0.000 0.000
0.000 7.845 0.000
0.000 0.000 4.183
V Zn I
2 4 4
Direct
0.000 0.000 0.000
0.500 0.500 0.000
0.107 0.393 0.000
0.393 0.893 0.000
0.607 0.107 0.000
0.893 0.607 0.000
0.228 0.728 0.500
0.272 0.228 0.500
0.728 0.772 0.500
0.772 0.272 0.500
```

Output
Space group: P4/mbm, No. 127
Total DFT energy (no corrections): -24.72 eV/cell
Raw formation energy: 482 meV/atom
Polymorph energy (0 for the lowest one): 25 meV/atom

---

Record 12
The following is a GGA-PBE calculation of a relaxed TiPW3 crystal, from the Alexandria database.

```
TiPW3
1.0
4.602 0.000 0.000
0.000 4.602 0.000
0.000 0.000 4.602
Ti P W
1 1 3
Direct
0.000 0.000 0.000
0.500 0.500 0.500
0.000 0.000 0.500
0.000 0.500 0.000
0.500 0.000 0.000
```

Output
Space group: Pm-3m, No. 221
Total DFT energy (no corrections): -41.32 eV/cell
Calculated formation energy: 2168 meV per atom
Polymorph energy (0 for the lowest one): 1494 meV/atom